Record 1
Y2RhSe | PBE | relaxed

As for the space group: R-3m.

a = 7.449 Å, b = 7.449 Å, c = 7.449 Å
α = 30.87°, β = 30.87°, γ = 30.87°
Fractional positions:
Y: 0.243 0.243 0.243
Y: 0.757 0.757 0.757
Rh: 0.500 0.500 0.500
Se: 0.000 0.000 0.000

Record 2
YRhSe2 | PBE | relaxed

As for the space group: I-42d.

a = 8.364 Å, b = 8.364 Å, c = 8.364 Å
α = 144.41°, β = 144.41°, γ = 51.21°
Fractional positions:
Y: 0.000 0.000 0.000
Y: 0.750 0.250 0.500
Rh: 0.250 0.750 0.500
Rh: 0.500 0.500 0.000
Se: 0.181 0.625 0.056
Se: 0.375 0.431 0.556
Se: 0.569 0.125 0.944
Se: 0.875 0.819 0.444

Record 3
Y2RhSe | PBE | relaxed

As for the space group: Cmcm.

a = 11.460 Å, b = 11.460 Å, c = 4.168 Å
α = 90.00°, β = 90.00°, γ = 160.21°
Fractional positions:
Y: 0.063 0.937 0.750
Y: 0.328 0.672 0.750
Y: 0.672 0.328 0.250
Y: 0.937 0.063 0.250
Rh: 0.456 0.544 0.750
Rh: 0.544 0.456 0.250
Se: 0.194 0.806 0.750
Se: 0.806 0.194 0.250

Record 4
YRhSe2 | PBE | relaxed

As for the space group: Cm.

a = 5.754 Å, b = 5.754 Å, c = 4.477 Å
α = 91.16°, β = 91.16°, γ = 37.32°
Fractional positions:
Y: 0.000 0.000 0.000
Rh: 0.711 0.711 0.242
Se: 0.266 0.266 0.919
Se: 0.511 0.511 0.494

Record 5
YRhSe2 | PBE | relaxed

As for the space group: Fm-3m.

a = 4.807 Å, b = 4.807 Å, c = 4.807 Å
α = 60.00°, β = 60.00°, γ = 60.00°
Fractional positions:
Y: 0.000 0.000 0.000
Rh: 0.500 0.500 0.500
Se: 0.250 0.250 0.250
Se: 0.750 0.750 0.750

Record 6
YRhSe2 | PBE | relaxed

As for the space group: R-3m.

a = 6.132 Å, b = 6.132 Å, c = 6.132 Å
α = 39.61°, β = 39.61°, γ = 39.61°
Fractional positions:
Y: 0.000 0.000 0.000
Rh: 0.500 0.500 0.500
Se: 0.239 0.239 0.239
Se: 0.761 0.761 0.761

Record 7
YRhSe2 | PBE | relaxed

As for the space group: Immm.

a = 5.117 Å, b = 5.117 Å, c = 5.117 Å
α = 133.95°, β = 117.95°, γ = 80.64°
Fractional positions:
Y: 0.000 0.000 0.000
Rh: 0.500 0.500 0.000
Se: 0.306 0.806 0.500
Se: 0.694 0.194 0.500

Record 8
YRhSe2 | PBE | relaxed

As for the space group: Imm2.

a = 7.146 Å, b = 7.146 Å, c = 7.146 Å
α = 151.18°, β = 150.38°, γ = 41.80°
Fractional positions:
Y: 0.000 0.000 0.000
Rh: 0.205 0.705 0.500
Se: 0.405 0.405 0.000
Se: 0.665 0.165 0.500

Record 9
Y6RhSe5 | PBE | relaxed

As for the space group: C2/m.

a = 7.125 Å, b = 7.125 Å, c = 7.094 Å
α = 99.70°, β = 99.70°, γ = 119.94°
Fractional positions:
Y: 0.078 0.395 0.737
Y: 0.237 0.237 0.257
Y: 0.395 0.078 0.737
Y: 0.605 0.922 0.263
Y: 0.763 0.763 0.743
Y: 0.922 0.605 0.263
Rh: 0.000 0.000 0.500
Se: 0.175 0.825 0.000
Se: 0.335 0.665 0.500
Se: 0.500 0.500 0.000
Se: 0.665 0.335 0.500
Se: 0.825 0.175 0.000

Record 10
YRhSe | PBE | relaxed

As for the space group: I4mm.

a = 5.104 Å, b = 5.104 Å, c = 5.104 Å
α = 136.48°, β = 136.48°, γ = 63.24°
Fractional positions:
Y: 0.000 0.000 0.000
Rh: 0.631 0.631 0.000
Se: 0.341 0.341 0.000

Record 11
Y2RhSe | PBE | relaxed

As for the space group: Immm.

a = 5.055 Å, b = 5.055 Å, c = 5.055 Å
α = 127.36°, β = 113.12°, γ = 90.03°
Fractional positions:
Y: 0.245 0.245 0.000
Y: 0.755 0.755 0.000
Rh: 0.000 0.500 0.500
Se: 0.500 0.000 0.500

Record 12
YRhSe2 | PBE | relaxed

As for the space group: Pm.

a = 4.160 Å, b = 4.651 Å, c = 4.904 Å
α = 90.00°, β = 106.72°, γ = 90.00°
Fractional positions:
Y: 0.000 0.000 0.000
Rh: 0.475 0.500 0.374
Se: 0.317 0.500 0.837
Se: 0.653 0.000 0.410

Record 13
YRhSe2 | PBE | relaxed

As for the space group: F-43m.

a = 4.837 Å, b = 4.837 Å, c = 4.837 Å
α = 60.00°, β = 60.00°, γ = 60.00°
Fractional positions:
Y: 0.000 0.000 0.000
Rh: 0.750 0.750 0.750
Se: 0.250 0.250 0.250
Se: 0.500 0.500 0.500

Record 14
YRhSe2 | PBE | relaxed

As for the space group: P2/m.

a = 3.655 Å, b = 3.619 Å, c = 6.529 Å
α = 90.00°, β = 90.15°, γ = 90.00°
Fractional positions:
Y: 0.000 0.000 0.000
Rh: 0.500 0.000 0.500
Se: 0.499 0.500 0.759
Se: 0.501 0.500 0.241

Here are the calculated formation energy without anion corrections numbers, same order: -4.90; -3.30; -5.18; -3.80; -3.14; -3.71; -3.73; -3.88; -19.51; -2.54; -3.72; -4.13; -1.61; -3.56 (eV/f.u.).
Here are the calculated D(E_F) numbers, same order: 2.36; 3.56; 5.38; 2.91; 4.59; 3.23; 0.90; 1.91; 8.08; 0.83; 2.27; 0.43; 6.36; 2.42 (states/eV/cell).
Here are the calculated theoretical density numbers, same order: 6.19; 5.89; 6.44; 6.46; 7.39; 6.88; 7.05; 6.70; 5.83; 7.22; 6.69; 6.39; 7.26; 6.72 (g/cm3).